1.
Entry from Alexandria: a relaxed structure of UGaSb2 (GGA-PBE).

a = 3.9756 Å, b = 3.9756 Å, c = 6.1889 Å
α = 90.00°, β = 90.00°, γ = 90.00°
Each line ends with the local moment (μB).
Positions (direct):
U 0.5000 0.5000 0.0000  2.18
Ga 0.5000 0.5000 0.5000  0.04
Sb 0.0000 0.0000 0.2515  -0.05
Sb 0.0000 0.0000 0.7485  -0.05

Properties
M_tot: 2.376 Bohr magnetons per cell
Space group: P4/mmm
Density of states at the Fermi level: 4.62 states/eV per cell
Energy relative to the elements, uncorrected: -0.72 eV/f.u.
V: 97.8 Å³ per cell
Relative energy among the computed polymorphs: 0.032 eV/atom
VASP energy: -23.279 eV per cell

---

2.
Entry from Alexandria: a relaxed structure of BaZrPb (GGA-PBE).

a = 4.7405 Å, b = 4.7405 Å, c = 9.2822 Å
α = 90.00°, β = 90.00°, γ = 90.00°
Each line ends with the local moment (μB).
Positions (direct):
Ba 0.5000 0.0000 0.1588  0.04
Ba 0.0000 0.5000 0.8412  0.04
Zr 0.5000 0.5000 0.5000  0.49
Zr 0.0000 0.0000 0.5000  0.49
Pb 0.5000 0.0000 0.7175  0.00
Pb 0.0000 0.5000 0.2825  0.00

Properties
M_tot: 2.005 Bohr magnetons per cell
Space group: P4/nmm
Density of states at the Fermi level: 8.37 states/eV per cell
V: 208.6 Å³ per cell
Relative energy among the computed polymorphs: 0.000 eV/atom
VASP energy: -29.747 eV per cell
Energy of formation: -0.231 eV per atom

---

3.
Entry from Alexandria: a relaxed structure of Dy4AgRu3 (GGA-PBE).

a = 4.8655 Å, b = 6.9451 Å, c = 9.7297 Å
α = 90.00°, β = 90.00°, γ = 90.00°
Positions (direct):
Dy 0.0002 0.7605 0.7500
Dy 0.9998 0.2395 0.2500
Dy 0.5000 0.7605 0.5000
Dy 0.5000 0.2395 0.5000
Dy 0.9998 0.7605 0.2500
Dy 0.0002 0.2395 0.7500
Dy 0.5000 0.2395 0.0000
Dy 0.5000 0.7605 0.0000
Ag 0.0000 0.5000 0.0000
Ag 0.0000 0.5000 0.5000
Ru 0.4996 0.5000 0.2500
Ru 0.4999 0.0000 0.2500
Ru 0.0000 0.0000 0.0000
Ru 0.0000 0.0000 0.5000
Ru 0.5001 0.0000 0.7500
Ru 0.5004 0.5000 0.7500

Properties
M_tot: 0.000 Bohr magnetons per cell
Space group: P4/mmm
Density of states at the Fermi level: 9.80 states/eV per cell
V: 328.8 Å³ per cell
VASP energy: -104.107 eV per cell
Energy of formation: -0.371 eV per atom

---

4.
Entry from Alexandria: a relaxed structure of Nd3Mg2Zn4 (GGA-PBE).

a = 4.7996 Å, b = 6.0252 Å, c = 8.3689 Å
α = 75.56°, β = 73.34°, γ = 66.53°
Positions (direct):
Zn 0.9459 0.7176 0.3906
Zn 0.7399 0.5897 0.9304
Zn 0.0541 0.2824 0.6094
Zn 0.2601 0.4103 0.0696
Nd 0.0000 0.0000 0.0000
Nd 0.3492 0.6165 0.6851
Nd 0.6508 0.3835 0.3149
Mg 0.6484 0.0204 0.6829
Mg 0.3516 0.9796 0.3171

Properties
M_tot: 0.000 Bohr magnetons per cell
Space group: C2/m
Density of states at the Fermi level: 7.91 states/eV per cell
V: 210.1 Å³ per cell
Relative energy among the computed polymorphs: 0.033 eV/atom
VASP energy: -24.704 eV per cell
Energy of formation: -0.235 eV per atom

---

5.
Entry from Alexandria: a relaxed structure of Sm2Ga6Ir (GGA-PBE).

a = 4.3141 Å, b = 6.9424 Å, c = 6.7998 Å
α = 120.70°, β = 90.00°, γ = 90.00°
Positions (direct):
Ga 0.5000 0.2458 0.0000
Ga 0.0000 0.1629 0.7270
Ga 0.0000 0.8371 0.2730
Ga 0.5000 0.7542 0.0000
Ga 0.0000 0.5641 0.7270
Ga 0.0000 0.4359 0.2730
Ir 0.0000 0.0000 0.0000
Sm 0.5000 0.2169 0.4338
Sm 0.5000 0.7831 0.5662

Properties
M_tot: 0.000 Bohr magnetons per cell
Space group: Cmmm
Density of states at the Fermi level: 3.97 states/eV per cell
V: 175.1 Å³ per cell
Relative energy among the computed polymorphs: 0.109 eV/atom
VASP energy: -41.221 eV per cell
Energy of formation: -0.529 eV per atom

---

6.
Entry from Alexandria: a relaxed structure of Li2SiRu (GGA-PBE).

a = 5.1075 Å, b = 5.1075 Å, c = 3.9662 Å
α = 67.16°, β = 67.16°, γ = 33.04°
Positions (direct):
Li 0.0034 0.0034 0.9968
Li 0.4966 0.4966 0.5032
Si 0.7500 0.7500 0.7500
Ru 0.2500 0.2500 0.2500

Properties
M_tot: 0.030 Bohr magnetons per cell
Space group: Immm
Density of states at the Fermi level: 2.69 states/eV per cell
Energy relative to the elements, uncorrected: -1.25 eV/f.u.
V: 51.6 Å³ per cell
VASP energy: -19.772 eV per cell

---

7.
Entry from Alexandria: a relaxed structure of Li2CdP2 (GGA-PBE).

a = 4.0578 Å, b = 4.0578 Å, c = 5.8847 Å
α = 69.83°, β = 69.83°, γ = 90.00°
Positions (direct):
Li 0.7500 0.2500 0.5000
Li 0.2500 0.7500 0.5000
Cd 0.0000 0.0000 0.0000
P 0.6063 0.6063 0.7875
P 0.3937 0.3937 0.2125

Properties
M_tot: 0.000 Bohr magnetons per cell
Space group: I4/mmm
Density of states at the Fermi level: 2.04 states/eV per cell
V: 84.6 Å³ per cell
Relative energy among the computed polymorphs: 0.082 eV/atom
VASP energy: -16.765 eV per cell
Energy of formation: -0.240 eV per atom

---

8.
Entry from Alexandria: a relaxed structure of HfSc2Au (GGA-PBE).

a = 4.9094 Å, b = 4.9094 Å, c = 4.9094 Å
α = 60.00°, β = 60.00°, γ = 60.00°
Each line ends with the local moment (μB).
Positions (direct):
Sc 0.2500 0.2500 0.2500  0.38
Sc 0.7500 0.7500 0.7500  0.38
Au 0.5000 0.5000 0.5000  0.02
Hf 0.0000 0.0000 0.0000  0.98

Properties
M_tot: 2.454 Bohr magnetons per cell
Space group: Fm-3m
Density of states at the Fermi level: 5.38 states/eV per cell
V: 83.7 Å³ per cell
Relative energy among the computed polymorphs: 0.258 eV/atom
VASP energy: -26.356 eV per cell
Energy of formation: -0.116 eV per atom